Compound: ZnCuAg2
Source: Alexandria
Functional: PBE
Structure: relaxed

Output
- Space-group type: Pm (6)
- Uncorrected energy: -10.976 eV per cell
- Density: 9.09 Mg/m³
- N(E_F): 0.275 states/eV/atom

a b c (Å): 4.185 2.912 5.384
angles (deg): 73.63 90.00 90.00
Fractional coordinates of all 4 atoms:
Zn1 0.500 0.562 0.755
Cu1 0.000 0.688 0.493
Ag1 0.000 0.953 0.968
Ag2 0.500 0.297 0.284